1.
ZrAs | GGA-PBE | optimized geometry

Geometry as extended XYZ:
```
12
Lattice="7.456 0.000 0.000 0.000 7.456 0.000 0.000 0.000 7.456" Properties=species:S:1:pos:R:3 pbc="T T T"
As 0.000 5.592 3.728
Zr 1.864 0.000 3.728
Zr 0.000 3.728 1.864
Zr 5.592 0.000 3.728
Zr 3.728 5.592 0.000
As 1.864 3.728 0.000
As 3.728 0.000 1.864
As 5.592 3.728 0.000
Zr 0.000 3.728 5.592
As 3.728 0.000 5.592
Zr 3.728 1.864 0.000
As 0.000 1.864 3.728
```

Properties
Formation energy from the elements   -0.2846 eV/atom
Calculated total energy   -6.88 eV/atom
M_tot   0.00 μB per formula unit

---

2.
Hg2HRh | GGA-PBE | optimized geometry

Geometry as extended XYZ:
```
8
Lattice="5.149 0.000 0.000 0.000 5.149 0.000 2.575 2.575 5.816" Properties=species:S:1:pos:R:3 pbc="T T T"
Hg 3.862 4.419 4.362
Rh 0.000 0.000 0.000
Rh 5.149 2.575 2.908
Hg 6.437 5.880 4.362
H 2.575 5.149 2.908
H 2.575 2.575 0.000
Hg 1.844 3.862 1.454
Hg 3.305 1.287 1.454
```

Properties
Calculated total energy   -2.05 eV/atom
M_tot   0.00 μB per formula unit
Offset from the most stable computed form   706 meV/atom

---

3.
Tb5Tm2In5 | GGA-PBE | optimized geometry

Geometry as extended XYZ:
```
12
Lattice="5.113 0.000 0.000 -2.556 5.903 -0.325 0.000 -3.474 11.371" Properties=species:S:1:pos:R:3 pbc="T T T"
Tb 2.556 -1.737 5.685
In 0.000 0.000 0.000
Tb 2.556 -1.669 11.268
Tm 0.000 -1.761 8.565
Tm 2.556 4.190 2.480
Tb 0.000 1.803 8.012
In 0.000 2.371 2.401
In 0.000 0.364 5.160
In 2.556 0.057 8.644
Tb 0.000 4.097 -0.222
In 2.556 2.065 5.885
Tb 2.556 0.626 3.034
```

Properties
Formation energy from the elements   -0.3057 eV/atom
Calculated total energy   -4.12 eV/atom
M_tot   0.00 μB per formula unit

---

4.
KGe2Pd | GGA-PBE | optimized geometry

Geometry as extended XYZ:
```
4
Lattice="-4.161 -1.473 1.941 -1.932 2.429 3.690 -4.015 2.588 -0.656" Properties=species:S:1:pos:R:3 pbc="T T T"
K 0.000 0.000 0.000
Ge -7.582 2.658 3.732
Ge -2.527 0.886 1.244
Pd -5.054 1.772 2.488
```

Properties
Formation energy from the elements   0.1886 eV/atom
Calculated total energy   -3.69 eV/atom
M_tot   0.00 μB per formula unit

---

5.
CdReCl2 | GGA-PBE | optimized geometry

Geometry as extended XYZ:
```
4
Lattice="4.129 0.000 0.000 0.000 3.199 0.013 0.000 1.114 5.784" Properties=species:S:1:pos:R:3 pbc="T T T"
Cl 0.000 1.602 2.725
Cl 0.000 0.554 0.174
Cd 2.064 3.234 4.348
Re 2.064 1.078 1.449
```

Properties
Calculated total energy   -3.82 eV/atom
ΔE_f (raw)   446 meV/atom
M_tot   1.10 μB per formula unit
Offset from the most stable computed form   417 meV/atom

---

6.
Ba3Mg2 | GGA-PBE | optimized geometry

Geometry as extended XYZ:
```
5
Lattice="-8.562 7.820 -10.169 -8.321 4.135 -12.311 -11.341 4.686 -9.344" Properties=species:S:1:pos:R:3 pbc="T T T"
Mg -17.042 10.048 -19.215
Ba -5.908 3.484 -6.662
Ba 0.000 0.000 0.000
Mg -11.182 6.593 -12.609
Ba -22.316 13.158 -25.162
```

Properties
Formation energy from the elements   0.1259 eV/atom
Calculated total energy   -1.67 eV/atom
M_tot   0.00 μB per formula unit
Offset from the most stable computed form   167 meV/atom

---

7.
Ba2LiSbO | GGA-PBE | optimized geometry

Geometry as extended XYZ:
```
5
Lattice="-2.818 3.979 -2.602 -4.189 -0.648 3.546 1.865 3.135 2.775" Properties=species:S:1:pos:R:3 pbc="T T T"
Ba -2.094 -0.324 1.773
Li 0.932 1.568 1.388
Ba -1.409 1.989 -1.301
Sb -2.571 3.233 1.860
O 0.000 0.000 0.000
```

Properties
Calculated total energy   -4.45 eV/atom
ΔE_f (raw)   -1486 meV/atom
M_tot   0.00 μB per formula unit
Offset from the most stable computed form   48 meV/atom

---

8.
TaNbAlHg2 | GGA-PBE | optimized geometry

Geometry as extended XYZ:
```
5
Lattice="5.410 0.000 0.000 0.000 4.845 0.000 0.000 0.000 5.410" Properties=species:S:1:pos:R:3 pbc="T T T"
Nb 0.000 0.000 0.000
Hg 0.000 0.000 2.705
Hg 2.705 0.000 0.000
Al 2.705 2.422 2.705
Ta 0.000 2.422 0.000
```

Properties
Formation energy from the elements   1.2760 eV/atom
Calculated total energy   -3.98 eV/atom
M_tot   0.00 μB per formula unit

---

9.
AlZn3Ag12 | GGA-PBE | optimized geometry

Geometry as extended XYZ:
```
16
Lattice="-0.396 -3.364 -2.223 3.499 0.823 -1.870 8.247 -8.650 11.622" Properties=species:S:1:pos:R:3 pbc="T T T"
Zn 6.194 -6.496 8.729
Zn 2.053 -2.153 2.893
Ag 4.841 -2.831 3.422
Al 0.000 0.000 0.000
Ag 8.970 -7.162 9.240
Ag 6.905 -4.995 6.330
Ag 4.957 -7.089 6.153
Ag 1.551 -1.271 -2.046
Ag 0.828 -2.759 0.335
Zn 4.124 -4.325 5.811
Ag 2.776 -0.665 0.511
Ag 5.675 -5.596 3.764
Ag 7.023 -9.256 9.064
Ag 2.894 -4.925 3.246
Ag 7.736 -7.757 6.668
Ag 3.614 -3.434 0.861
```

Properties
Formation energy from the elements   -0.0126 eV/atom
Calculated total energy   -2.62 eV/atom
M_tot   0.00 μB per formula unit

---

10.
SrCaP2 | GGA-PBE | optimized geometry

Geometry as extended XYZ:
```
8
Lattice="-1.911 -7.657 -0.533 7.602 -1.964 0.960 2.405 -4.927 3.465" Properties=species:S:1:pos:R:3 pbc="T T T"
P 6.667 -12.083 2.958
Ca 6.427 -5.850 2.319
P 5.084 -3.534 1.392
Sr 1.670 -8.697 1.573
P 0.387 -6.145 0.661
Sr 0.000 0.000 0.000
P 4.055 -7.333 2.774
Ca 2.846 -4.810 0.214
```

Properties
Formation energy from the elements   -0.5839 eV/atom
Calculated total energy   -4.21 eV/atom
M_tot   0.00 μB per formula unit

---

11.
PrNb2N4 | GGA-PBE | optimized geometry

Geometry as extended XYZ:
```
14
Lattice="3.210 0.000 0.000 -1.605 5.202 0.000 0.000 0.000 10.567" Properties=species:S:1:pos:R:3 pbc="T T T"
N 1.605 2.765 4.131
N 1.605 0.000 0.000
N 1.605 2.765 1.153
Nb 0.000 1.345 0.684
Pr 0.000 4.000 2.642
Nb 0.000 1.345 4.599
Nb 1.605 3.857 9.882
N 0.000 2.436 9.414
N 1.605 0.000 5.283
N 0.000 2.436 6.436
Pr 1.605 1.202 7.925
N 1.605 4.481 7.925
N 0.000 0.721 2.642
Nb 1.605 3.857 5.968
```

Properties
Calculated total energy   -9.39 eV/atom
ΔE_f (raw)   -1076 meV/atom
M_tot   0.00 μB per formula unit

---

12.
AgHPd3 | GGA-PBE | optimized geometry

Geometry as extended XYZ:
```
20
Lattice="-2.895 -6.923 0.586 -6.929 -1.412 -2.577 -0.937 -4.221 -6.161" Properties=species:S:1:pos:R:3 pbc="T T T"
Pd -6.350 -3.232 -3.138
Ag -6.257 -5.737 -2.015
Ag -3.261 -7.142 -3.807
Pd -1.028 -2.370 -2.818
Pd -4.352 -3.908 -1.258
Pd -6.937 -5.874 -6.995
Pd -1.761 -3.380 -0.295
Pd -3.270 -1.319 -1.477
Pd -2.111 -4.959 -2.599
Pd -8.163 -7.566 -2.771
Pd -2.598 -4.990 -5.381
H -1.813 -3.680 -4.099
H -2.793 -5.031 -0.726
H -4.810 -2.275 -2.307
Pd -3.824 -6.682 -1.158
Pd -3.620 -2.898 -3.781
Pd -4.411 -9.324 -5.015
Ag -6.726 -7.847 -5.095
Ag -5.278 -4.386 -5.388
H -1.345 -1.569 -1.019
```

Properties
Calculated total energy   -4.23 eV/atom
M_tot   0.00 μB per formula unit
Offset from the most stable computed form   202 meV/atom